A relaxed BaBIN2 crystal, computed with GGA-PBE.

Calculated values
Formation energy without anion corrections ... 1346 meV per atom
Polymorph energy (0 for the lowest one) ... 0 meV/atom
Raw total energy ... -4.01 eV/atom

```
data_BaBIN2
_chemical_formula_sum 'Ba1 B1 I1 N2'
_cell_length_a 4.420
_cell_length_b 4.420
_cell_length_c 4.731
_cell_angle_alpha 90.00
_cell_angle_beta 90.00
_cell_angle_gamma 90.00
_space_group_name_H-M_alt 'P 4/m m m'
_space_group_IT_number 123
_space_group_name_Hall '-P 4 2'
loop_
_atom_site_label
_atom_site_type_symbol
_atom_site_fract_x
_atom_site_fract_y
_atom_site_fract_z
_atom_site_occupancy
Ba1 Ba 0.000 0.000 0.000 1
B1 B 0.500 0.500 0.500 1
I1 I 0.500 0.500 0.000 1
N1 N 0.000 0.500 0.500 1
```